## SrCa3Sn (PBE-GGA)

Data for SrCa3Sn after structural relaxation.

a b c (Å): 6.091 6.091 6.091
angles (deg): 90.00 90.00 90.00
Last column: magnetic moment on the atom in μB.
Positions (direct):
Ca (0.000, 0.000, 0.500)  0.06
Sr (0.500, 0.500, 0.500)  0.09
Ca (0.000, 0.500, 0.000)  0.06
Ca (0.500, 0.000, 0.000)  0.07
Sn (0.000, 0.000, 0.000)  0.05

The raw total energy is -2.509 eV/atom. As for the space-group type: Pm-3m. The formation energy comes out at -3.9 kcal/mol of atoms.

---

## Sr3CaSn (PBE-GGA)

Data for Sr3CaSn after structural relaxation.

a b c (Å): 6.423 6.423 6.423
angles (deg): 90.00 90.00 90.00
Last column: magnetic moment on the atom in μB.
Positions (direct):
Ca (0.500, 0.500, 0.500)  0.07
Sn (0.000, 0.000, 0.000)  0.05
Sr (0.500, 0.000, 0.000)  0.05
Sr (0.000, 0.500, 0.000)  0.04
Sr (0.000, 0.000, 0.500)  0.04

The raw total energy is -2.335 eV/atom. As for the space-group type: Pm-3m. The formation energy comes out at -2.9 kcal/mol of atoms.

---

> Look up the raw total energy of the second one.

-2.335 eV/atom

---

> Which of these has the highest raw total energy?

Sr3CaSn